(1)
{"formula": "Zr6Al2P", "functional": "PBEsol", "state": "optimized geometry", "lattice": [[3.673, 0.000, 0.000], [0.000, 7.481, 0.000], [0.000, -3.740, 6.479]], "species": ["Zr", "Zr", "Zr", "Zr", "Zr", "Zr", "Al", "Al", "P"], "frac_coords": [[0.000, 0.254, 0.000], [0.500, 0.392, 0.392], [0.000, 0.746, 0.746], [0.000, 0.000, 0.254], [0.500, 0.608, 0.000], [0.500, 0.000, 0.608], [0.000, 0.333, 0.667], [0.000, 0.667, 0.333], [0.500, 0.000, 0.000]], "space_group": "No. 189"}



(2)
{"formula": "ZrAlP4", "functional": "PBEsol", "state": "optimized geometry", "lattice": [[-3.215, 3.487, -1.723], [-4.692, -1.321, -1.308], [-3.913, 1.447, 2.840]], "species": ["P", "P", "P", "P", "Al", "Zr"], "frac_coords": [[0.624, 0.624, 0.624], [0.624, 0.128, 0.624], [0.128, 0.624, 0.624], [0.624, 0.624, 0.128], [0.000, 0.000, 0.000], [0.250, 0.250, 0.250]], "space_group": "No. 216"}



(3)
{"formula": "Zr5Al3P", "functional": "PBEsol", "state": "optimized geometry", "lattice": [[5.745, 0.000, 0.000], [0.000, 8.326, 0.000], [0.000, -4.163, 7.211]], "species": ["Zr", "Zr", "Zr", "Zr", "Zr", "Zr", "Zr", "Zr", "Zr", "Zr", "Al", "Al", "Al", "Al", "Al", "Al", "P", "P"], "frac_coords": [[0.750, 0.747, 0.000], [0.750, 0.000, 0.747], [0.000, 0.667, 0.333], [0.250, 0.000, 0.253], [0.000, 0.333, 0.667], [0.500, 0.667, 0.333], [0.250, 0.747, 0.747], [0.250, 0.253, 0.000], [0.750, 0.253, 0.253], [0.500, 0.333, 0.667], [0.750, 0.394, 0.000], [0.250, 0.606, 0.000], [0.750, 0.000, 0.394], [0.750, 0.606, 0.606], [0.250, 0.000, 0.606], [0.250, 0.394, 0.394], [0.000, 0.000, 0.000], [0.500, 0.000, 0.000]], "space_group": "No. 193"}



(4)
{"formula": "ZrAlP3", "functional": "PBEsol", "state": "optimized geometry", "lattice": [[-1.737, 4.178, 0.248], [-2.077, -1.094, 3.876], [3.634, 1.372, 2.334]], "species": ["P", "P", "P", "Zr", "Al"], "frac_coords": [[0.000, 0.000, 0.500], [0.000, 0.500, 0.000], [0.500, 0.000, 0.000], [0.500, 0.500, 0.500], [0.000, 0.000, 0.000]], "space_group": "No. 221"}



(5)
{"formula": "Zr3AlP", "functional": "PBEsol", "state": "optimized geometry", "lattice": [[4.791, 0.000, 0.000], [0.000, 4.791, 0.000], [0.000, 0.000, 4.791]], "species": ["Al", "Zr", "Zr", "Zr", "P"], "frac_coords": [[0.500, 0.500, 0.500], [0.000, 0.500, 0.000], [0.500, 0.000, 0.000], [0.000, 0.000, 0.500], [0.000, 0.000, 0.000]], "space_group": "No. 221"}



(6)
{"formula": "PaAl3", "functional": "PBEsol", "state": "optimized geometry", "lattice": [[-3.403, -1.277, -2.750], [2.668, -5.576, -0.713], [-4.074, 0.933, 4.609]], "species": ["Pa", "Pa", "Al", "Al", "Al", "Al", "Al", "Al"], "frac_coords": [[0.250, 0.667, 0.333], [0.750, 0.333, 0.667], [0.750, 0.299, 0.150], [0.750, 0.850, 0.150], [0.750, 0.850, 0.701], [0.250, 0.150, 0.299], [0.250, 0.701, 0.850], [0.250, 0.150, 0.850]], "space_group": "No. 194"}



(7)
{"formula": "PaAlTc2", "functional": "PBEsol", "state": "optimized geometry", "lattice": [[-0.073, -1.113, 4.414], [-3.781, -1.737, 1.847], [-0.122, -4.378, 1.242]], "species": ["Al", "Tc", "Tc", "Pa"], "frac_coords": [[0.500, 0.500, 0.500], [0.250, 0.250, 0.250], [0.750, 0.750, 0.750], [0.000, 0.000, 0.000]], "space_group": "No. 225"}



(8)
{"formula": "AlPb", "functional": "PBEsol", "state": "optimized geometry", "lattice": [[4.218, 0.000, 0.000], [-2.109, 3.652, 0.000], [0.000, 0.000, 6.789]], "species": ["Al", "Al", "Pb", "Pb"], "frac_coords": [[0.667, 0.333, 0.750], [0.333, 0.667, 0.250], [0.000, 0.000, 0.500], [0.000, 0.000, 0.000]], "space_group": "No. 194"}



In order of appearance, energy of formation = -0.6258, 0.0575, -0.6633, 0.3674, -0.3596, -0.2341, -0.3197, 0.3663 eV/atom.
In order of appearance, DFT total energy = -8.238, -6.000, -7.721, -5.744, -7.790, -5.860, -9.533, -3.679 eV per atom.